# 1
The following is a GGA-PBEsol calculation of a relaxed K2Li3BP4O14 crystal, from Alexandria.

Cell and atoms, written as POSCAR:
```
K2Li3BP4O14
1.0
6.866 0.000 0.000
0.000 13.897 -0.002
0.000 -6.889 12.069
O P Li K B
56 16 12 8 4
Direct
0.489 0.996 0.834
0.951 0.057 0.711
0.324 0.160 0.856
0.750 0.210 0.710
0.365 0.825 0.825
0.011 0.496 0.334
0.600 0.631 0.019
0.781 0.827 0.637
0.011 0.334 0.496
0.250 0.790 0.290
0.250 0.290 0.790
0.989 0.504 0.666
0.549 0.211 0.557
0.324 0.856 0.160
0.900 0.519 0.131
0.865 0.675 0.675
0.600 0.019 0.631
0.676 0.840 0.144
0.511 0.166 0.004
0.489 0.834 0.996
0.219 0.173 0.363
0.824 0.644 0.340
0.281 0.673 0.863
0.824 0.340 0.644
0.400 0.981 0.369
0.951 0.711 0.057
0.451 0.443 0.789
0.875 0.017 0.136
0.100 0.481 0.869
0.375 0.483 0.364
0.549 0.557 0.211
0.219 0.363 0.173
0.125 0.983 0.864
0.135 0.325 0.325
0.375 0.364 0.483
0.750 0.710 0.210
0.176 0.660 0.356
0.676 0.144 0.840
0.900 0.131 0.519
0.781 0.637 0.827
0.281 0.863 0.673
0.100 0.869 0.481
0.400 0.369 0.981
0.635 0.175 0.175
0.875 0.136 0.017
0.049 0.943 0.289
0.625 0.636 0.517
0.989 0.666 0.504
0.625 0.517 0.636
0.176 0.356 0.660
0.719 0.137 0.327
0.719 0.327 0.137
0.049 0.289 0.943
0.511 0.004 0.166
0.125 0.864 0.983
0.451 0.789 0.443
0.744 0.716 0.096
0.244 0.784 0.404
0.700 0.202 0.078
0.300 0.922 0.798
0.256 0.904 0.284
0.700 0.078 0.202
0.200 0.298 0.422
0.756 0.596 0.216
0.756 0.216 0.596
0.744 0.096 0.716
0.256 0.284 0.904
0.244 0.404 0.784
0.300 0.798 0.922
0.800 0.702 0.578
0.800 0.578 0.702
0.200 0.422 0.298
0.000 0.119 0.881
0.025 0.900 0.629
0.975 0.371 0.100
0.500 0.381 0.619
0.025 0.629 0.900
0.525 0.600 0.871
0.475 0.129 0.400
0.500 0.619 0.381
0.475 0.400 0.129
0.975 0.100 0.371
0.525 0.871 0.600
0.000 0.881 0.119
0.750 0.909 0.409
0.250 0.091 0.591
0.250 0.591 0.091
0.301 0.607 0.607
0.199 0.107 0.107
0.750 0.409 0.909
0.801 0.893 0.893
0.699 0.393 0.393
0.500 0.882 0.118
0.500 0.118 0.882
0.000 0.382 0.618
0.000 0.618 0.382
```

Calculated values
ΔE_f (raw) ... -56.6 eV/f.u.
Space-group type ... Cmce (64)



# 2
The following is a GGA-PBEsol calculation of a relaxed K3LuB2O6 crystal, from Alexandria.

Cell and atoms, written as POSCAR:
```
K3LuB2O6
1.0
-4.669 2.507 -1.301
-2.139 -5.576 -3.069
-3.754 -2.899 7.883
O B Lu K
12 4 2 6
Direct
0.780 0.694 0.597
0.500 0.688 0.307
0.000 0.188 0.193
0.500 0.312 0.693
0.720 0.194 0.903
0.220 0.694 0.597
0.780 0.306 0.403
0.220 0.306 0.403
0.280 0.194 0.903
0.720 0.806 0.097
0.000 0.812 0.807
0.280 0.806 0.097
0.500 0.766 0.167
0.500 0.234 0.833
0.000 0.266 0.333
0.000 0.734 0.667
0.500 0.500 0.500
0.000 0.000 0.000
0.500 0.000 0.500
0.000 0.500 0.000
0.500 0.225 0.167
0.000 0.725 0.333
0.000 0.275 0.667
0.500 0.775 0.833
```

Calculated values
ΔE_f (raw) ... -30.5 eV/f.u.
Space-group type ... Pnnm (58)



# 3
The following is a GGA-PBEsol calculation of a relaxed KMg3B crystal, from Alexandria.

Cell and atoms, written as POSCAR:
```
KMg3B
1.0
-0.670 1.070 -4.670
-1.774 -4.436 -0.762
-4.450 1.607 1.006
K Mg B
1 3 1
Direct
0.500 0.500 0.500
0.500 0.000 0.000
0.000 0.500 0.000
0.000 0.000 0.500
0.000 0.000 0.000
```

Calculated values
Space-group type ... Pm-3m (221)
Formation energy from the elements ... 0.40 eV per atom



# 4
The following is a GGA-PBEsol calculation of a relaxed K2MgB crystal, from Alexandria.

Cell and atoms, written as POSCAR:
```
K2MgB
1.0
-3.795 1.843 1.643
-1.107 -3.688 7.818
2.623 7.073 4.363
K Mg B
4 2 2
Direct
0.307 0.318 0.818
0.875 0.818 0.682
0.443 0.682 0.182
0.375 0.182 0.318
0.000 0.000 0.000
0.750 0.500 0.500
0.500 0.000 0.000
0.250 0.500 0.500
```

Calculated values
Space-group type ... I-42d (122)
Formation energy from the elements ... 0.74 eV per atom



| no. | total energy (eV per atom) | mass density (g cm⁻³) |
| --- | --- | --- |
| 1 | -7.020 | 2.64 |
| 2 | -7.027 | 4.04 |
| 3 | -2.259 | 1.80 |
| 4 | -2.012 | 1.17 |